# 1
Here is an optimized crystal structure of Rb3MoH6 from Alexandria via LeMat-Bulk. Energies are from PBE.

Calculated values
Volume in Å³/f.u.: 184.0
Calculated total energy in eV per formula unit: -34.5

a b c (Å): 6.384 6.384 6.385
angles (deg): 89.96 120.02 120.02
Sites, in units of the cell vectors:
H  0.001  0.206  0.207
H  0.000  0.207  0.795
H  0.999  0.794  0.793
Rb  0.500  0.250  0.750
Rb  0.000  0.500  0.500
Mo  0.000  0.000  0.000
H  0.412  0.205  0.205
H  0.588  0.795  0.795
Rb  0.500  0.750  0.250
H  0.000  0.793  0.205

***

# 2
Here is an optimized crystal structure of Tb3Sm2Tm6Pb from Alexandria via LeMat-Bulk. Energies are from PBE.

Calculated values
Volume in Å³/f.u.: 364.4
Calculated total energy in eV per formula unit: -54.6

a b c (Å): 6.061 6.061 11.637
angles (deg): 95.01 95.01 120.03
Sites, in units of the cell vectors:
Sm  0.334  0.666  0.000
Pb  0.000  0.000  0.000
Tm  0.754  0.754  0.250
Tb  0.500  0.500  0.500
Tm  0.246  0.246  0.750
Sm  0.666  0.334  0.000
Tb  0.167  0.833  0.500
Tb  0.833  0.167  0.500
Tm  0.590  0.918  0.751
Tm  0.918  0.590  0.751
Tm  0.082  0.410  0.249
Tm  0.410  0.082  0.249

***

# 3
Here is an optimized crystal structure of Dy5CuPb3 from Alexandria via LeMat-Bulk. Energies are from PBE.

Calculated values
Volume in Å³/f.u.: 245.2
Calculated total energy in eV per formula unit: -42.7

a b c (Å): 9.216 9.216 6.668
angles (deg): 90.00 90.00 120.00
Sites, in units of the cell vectors:
Dy  0.667  0.333  0.500
Dy  0.333  0.667  0.500
Cu  0.000  0.000  0.000
Dy  0.000  0.254  0.250
Pb  0.389  0.000  0.750
Dy  0.667  0.333  0.000
Dy  0.000  0.746  0.750
Pb  0.000  0.389  0.750
Cu  0.000  0.000  0.500
Pb  0.611  0.611  0.750
Pb  0.611  0.000  0.250
Pb  0.000  0.611  0.250
Pb  0.389  0.389  0.250
Dy  0.746  0.000  0.750
Dy  0.746  0.746  0.250
Dy  0.254  0.254  0.750
Dy  0.333  0.667  0.000
Dy  0.254  0.000  0.250

***

# 4
Here is an optimized crystal structure of Rb3Cd7Au2 from Alexandria via LeMat-Bulk. Energies are from PBE.

Calculated values
Volume in Å³/f.u.: 444.6
Calculated total energy in eV per formula unit: -16.7

a b c (Å): 5.380 5.380 15.823
angles (deg): 99.79 99.79 90.00
Sites, in units of the cell vectors:
Cd  0.180  0.180  0.360
Cd  0.097  0.597  0.194
Au  0.911  0.911  0.822
Cd  0.597  0.097  0.194
Cd  0.820  0.820  0.640
Rb  0.500  0.500  0.000
Cd  0.000  0.000  0.000
Rb  0.696  0.696  0.393
Cd  0.903  0.403  0.806
Cd  0.403  0.903  0.806
Au  0.089  0.089  0.178
Rb  0.304  0.304  0.607

***

# 5
Here is an optimized crystal structure of PmHo4Mg5 from Alexandria via LeMat-Bulk. Energies are from PBE.

Calculated values
Volume in Å³/f.u.: 272.7
Calculated total energy in eV per formula unit: -31.8

a b c (Å): 3.787 3.787 19.018
angles (deg): 90.00 90.00 90.00
Sites, in units of the cell vectors:
Ho  0.000  0.000  0.599
Pm  0.000  0.000  0.000
Mg  0.500  0.500  0.303
Ho  0.000  0.000  0.796
Ho  0.000  0.000  0.204
Ho  0.000  0.000  0.401
Mg  0.500  0.500  0.697
Mg  0.500  0.500  0.105
Mg  0.500  0.500  0.895
Mg  0.500  0.500  0.500

***

# 6
Here is an optimized crystal structure of FeCuAg3 from Alexandria via LeMat-Bulk. Energies are from PBE.

Calculated values
Volume in Å³/f.u.: 106.2
Distance to the lowest polymorph of the same formula in meV per atom: 0
Calculated total energy in eV per formula unit: -16.0

a b c (Å): 4.735 4.735 4.735
angles (deg): 90.00 90.00 90.00
Sites, in units of the cell vectors:
Cu  0.000  0.000  0.000
Fe  0.500  0.500  0.500
Ag  0.500  0.000  0.000
Ag  0.000  0.500  0.000
Ag  0.000  0.000  0.500

***

Among the records above, which one has the lowest volume? FeCuAg3

***

What is the formula in the second record? Tb3Sm2Tm6Pb

***

Which formula does entry 1 have? Rb3MoH6

***

Which formula does entry 6 have? FeCuAg3